# EuCuO3

A relaxed structure of EuCuO3 (PBE, Alexandria via LeMat-Bulk).

Summary:
For the total energy, the calculation gives -0.272 hartree per atom. The value obtained for the calculated density is 7756 kg/m³. The uncorrected formation energy is -7.741 eV per formula unit. As for the symmetry: No. 221.

Lattice parameters (Å, degrees): 3.8353 3.8353 3.8353 90.00 90.00 90.00
Closest atoms and distances in Å follow each position.
Fractional coordinates of all 5 atoms:
O 0.0000 0.5000 0.5000  2 Cu 1.92
O 0.5000 0.5000 0.0000  2 Cu 1.92
O 0.5000 0.0000 0.5000  2 Cu 1.92
Eu 0.0000 0.0000 0.0000  12 O 2.71
Cu 0.5000 0.5000 0.5000  6 O 1.92